Record 1
! SmSnHg3 (PBE, relaxed); values from VASP
! - Formation energy: -23 kJ/mol of atoms
! - Density of states at the Fermi level: 0.47 states/eV per atom
! - SG: No. 11
&SYSTEM
  ibrav = 0, nat = 10, ntyp = 3
/
ATOMIC_SPECIES
Sm 150.36 Sm.upf
Sn 118.71 Sn.upf
Hg 200.59 Hg.upf
ATOMIC_POSITIONS angstrom
Sm 0.015 2.499 2.228
Sm 2.392 7.496 3.644
Sn 2.388 7.496 0.033
Sn 0.020 2.499 5.839
Hg -0.015 7.496 1.571
Hg -0.001 5.182 3.983
Hg -0.001 9.810 3.983
Hg 2.408 0.185 1.889
Hg 2.408 4.813 1.889
Hg 2.422 2.499 4.301
CELL_PARAMETERS angstrom
4.810 0.000 0.000
0.000 9.995 0.000
-2.403 0.000 5.872

***

Record 2
! Sm2Sn4Hg (PBE, relaxed); values from VASP
! - Formation energy: -42 kJ/mol of atoms
! - Density of states at the Fermi level: 0.54 states/eV per atom
! - SG: No. 115
&SYSTEM
  ibrav = 0, nat = 7, ntyp = 3
/
ATOMIC_SPECIES
Sm 150.36 Sm.upf
Sn 118.71 Sn.upf
Hg 200.59 Hg.upf
ATOMIC_POSITIONS angstrom
Sm 0.000 2.266 2.242
Sm 2.266 0.000 7.308
Sn 0.000 0.000 4.775
Sn 0.000 2.266 7.656
Sn 2.266 0.000 1.893
Sn 2.266 2.266 4.775
Hg 2.266 2.266 0.000
CELL_PARAMETERS angstrom
4.532 0.000 0.000
0.000 4.532 0.000
0.000 0.000 9.549

***

Record 3
! Sm8SnHg2 (PBE, relaxed); values from VASP
! - Formation energy: -26 kJ/mol of atoms
! - Density of states at the Fermi level: 1.00 states/eV per atom
! - SG: No. 12
&SYSTEM
  ibrav = 0, nat = 11, ntyp = 3
/
ATOMIC_SPECIES
Sm 150.36 Sm.upf
Sn 118.71 Sn.upf
Hg 200.59 Hg.upf
ATOMIC_POSITIONS angstrom
Sm -0.193 0.000 1.826
Sm 1.820 0.000 5.660
Sm 4.990 0.000 3.669
Sm 7.557 0.000 0.261
Sm 8.849 0.000 6.685
Sm 11.416 0.000 3.277
Sm 14.585 0.000 1.285
Sm 16.599 0.000 5.120
Sn 8.203 0.000 3.473
Hg 2.877 0.000 1.491
Hg 13.529 0.000 5.455
CELL_PARAMETERS angstrom
9.346 -2.628 0.000
9.346 2.628 0.000
-2.287 0.000 6.945

***

Record 4
! Sm4SnHg7 (PBE, relaxed); values from VASP
! - Formation energy: -26 kJ/mol of atoms
! - Density of states at the Fermi level: 0.54 states/eV per atom
! - SG: No. 12
&SYSTEM
  ibrav = 0, nat = 12, ntyp = 3
/
ATOMIC_SPECIES
Sm 150.36 Sm.upf
Sn 118.71 Sn.upf
Hg 200.59 Hg.upf
ATOMIC_POSITIONS angstrom
Sm -0.502 0.000 2.448
Sm -1.277 0.000 7.312
Sm 9.379 0.000 1.716
Sm 8.604 0.000 6.581
Sn 4.051 0.000 4.514
Hg -2.819 0.000 4.514
Hg 1.807 0.000 0.361
Hg 1.045 0.000 5.192
Hg 4.897 0.000 1.399
Hg 3.204 0.000 7.630
Hg 7.057 0.000 3.837
Hg 6.295 0.000 8.667
CELL_PARAMETERS angstrom
6.870 -2.738 0.000
6.870 2.738 0.000
-5.638 0.000 9.029

***

Record 5
! SmSnHg2 (PBE, relaxed); values from VASP
! - Formation energy: -34 kJ/mol of atoms
! - Density of states at the Fermi level: 0.37 states/eV per atom
! - SG: No. 166
&SYSTEM
  ibrav = 0, nat = 4, ntyp = 3
/
ATOMIC_SPECIES
Sm 150.36 Sm.upf
Sn 118.71 Sn.upf
Hg 200.59 Hg.upf
ATOMIC_POSITIONS angstrom
Sm 0.000 0.000 0.000
Sn 0.000 0.000 7.871
Hg 0.000 0.000 3.803
Hg 0.000 0.000 11.938
CELL_PARAMETERS angstrom
2.415 1.394 5.247
-2.415 1.394 5.247
0.000 -2.789 5.247

***

Record 6
! Sm2SnHg4 (PBE, relaxed); values from VASP
! - Formation energy: -37 kJ/mol of atoms
! - Density of states at the Fermi level: 0.55 states/eV per atom
! - SG: No. 166
&SYSTEM
  ibrav = 0, nat = 7, ntyp = 3
/
ATOMIC_SPECIES
Sm 150.36 Sm.upf
Sn 118.71 Sn.upf
Hg 200.59 Hg.upf
ATOMIC_POSITIONS angstrom
Sm 0.000 0.000 5.210
Sm 0.000 0.000 18.091
Sn 0.000 0.000 11.650
Hg 0.000 0.000 1.625
Hg 0.000 0.000 8.449
Hg 0.000 0.000 14.852
Hg 0.000 0.000 21.676
CELL_PARAMETERS angstrom
2.609 1.507 7.767
-2.609 1.507 7.767
0.000 -3.013 7.767

***

Record 7
! Sm8Sn2Hg3 (PBE, relaxed); values from VASP
! - Formation energy: -29 kJ/mol of atoms
! - Density of states at the Fermi level: 1.13 states/eV per atom
! - SG: No. 65
&SYSTEM
  ibrav = 0, nat = 13, ntyp = 3
/
ATOMIC_SPECIES
Sm 150.36 Sm.upf
Sn 118.71 Sn.upf
Hg 200.59 Hg.upf
ATOMIC_POSITIONS angstrom
Sm 4.539 6.304 0.000
Sm 2.564 1.872 2.791
Sm 4.539 2.823 0.000
Sm 2.564 -1.872 2.791
Sm 6.515 1.872 2.791
Sm 4.539 -2.823 0.000
Sm 6.515 -1.872 2.791
Sm 4.539 -6.304 0.000
Sn 4.539 4.354 2.791
Sn 4.539 -4.354 2.791
Hg 0.000 0.000 2.791
Hg 2.876 0.000 0.000
Hg 6.202 0.000 0.000
CELL_PARAMETERS angstrom
4.539 -8.015 0.000
4.539 8.015 0.000
0.000 0.000 5.582

***

Record 8
! SmSnHg2 (PBE, relaxed); values from VASP
! - Formation energy: -29 kJ/mol of atoms
! - Density of states at the Fermi level: 0.53 states/eV per atom
! - SG: No. 123
&SYSTEM
  ibrav = 0, nat = 4, ntyp = 3
/
ATOMIC_SPECIES
Sm 150.36 Sm.upf
Sn 118.71 Sn.upf
Hg 200.59 Hg.upf
ATOMIC_POSITIONS angstrom
Sm 0.000 0.000 0.000
Sn 0.000 0.000 3.534
Hg 1.918 1.918 1.818
Hg 1.918 1.918 5.250
CELL_PARAMETERS angstrom
3.837 0.000 0.000
0.000 3.837 0.000
0.000 0.000 7.068

***

Record 9
! Sm3Sn3Hg (PBE, relaxed); values from VASP
! - Formation energy: -63 kJ/mol of atoms
! - Density of states at the Fermi level: 0.67 states/eV per atom
! - SG: No. 12
&SYSTEM
  ibrav = 0, nat = 14, ntyp = 3
/
ATOMIC_SPECIES
Sm 150.36 Sm.upf
Sn 118.71 Sn.upf
Hg 200.59 Hg.upf
ATOMIC_POSITIONS angstrom
Sm -1.567 0.000 5.446
Sm -3.012 0.000 13.429
Sm 1.623 0.000 3.289
Sm 5.503 0.000 11.243
Sm 10.138 0.000 1.103
Sm 8.693 0.000 9.085
Sn 2.179 0.000 6.652
Sn 0.199 0.000 13.441
Sn 4.791 0.000 3.227
Sn 2.335 0.000 11.304
Sn 6.927 0.000 1.090
Sn 4.947 0.000 7.880
Hg 0.368 0.000 9.084
Hg 6.758 0.000 5.448
CELL_PARAMETERS angstrom
5.865 -2.301 0.000
5.865 2.301 0.000
-4.603 0.000 14.532

***

Record 10
! SmSnHg4 (PBE, relaxed); values from VASP
! - Formation energy: -8 kJ/mol of atoms
! - Density of states at the Fermi level: 0.36 states/eV per atom
! - SG: No. 216
&SYSTEM
  ibrav = 0, nat = 6, ntyp = 3
/
ATOMIC_SPECIES
Sm 150.36 Sm.upf
Sn 118.71 Sn.upf
Hg 200.59 Hg.upf
ATOMIC_POSITIONS angstrom
Sm 0.000 0.000 0.000
Sn 6.398 6.398 6.398
Hg 3.200 3.200 3.200
Hg 5.331 5.331 3.200
Hg 5.331 3.200 5.331
Hg 3.200 5.331 5.331
CELL_PARAMETERS angstrom
0.000 4.265 4.265
4.265 0.000 4.265
4.265 4.265 0.000

***

Record 11
! Sm5SnHg2 (PBE, relaxed); values from VASP
! - Formation energy: -44 kJ/mol of atoms
! - Density of states at the Fermi level: 0.92 states/eV per atom
! - SG: No. 140
&SYSTEM
  ibrav = 0, nat = 16, ntyp = 3
/
ATOMIC_SPECIES
Sm 150.36 Sm.upf
Sn 118.71 Sn.upf
Hg 200.59 Hg.upf
ATOMIC_POSITIONS angstrom
Sm 0.000 0.000 0.000
Sm 5.548 1.319 -1.986
Sm 1.319 2.910 -1.986
Sm 5.548 1.319 1.986
Sm 1.319 2.910 1.986
Sm 0.000 0.000 6.634
Sm 2.910 1.319 4.649
Sm -1.319 2.910 4.649
Sm 2.910 1.319 8.620
Sm -1.319 2.910 8.620
Sn 0.000 0.000 3.317
Sn 0.000 0.000 9.952
Hg 3.065 1.165 0.000
Hg 3.065 -1.165 6.634
Hg 1.165 5.394 0.000
Hg 1.165 3.065 6.634
CELL_PARAMETERS angstrom
-4.229 4.229 6.634
4.229 -4.229 6.634
4.229 4.229 -6.634

***

Record 12
! Sm2Sn3Hg (PBE, relaxed); values from VASP
! - Formation energy: -25 kJ/mol of atoms
! - Density of states at the Fermi level: 0.74 states/eV per atom
! - SG: No. 63
&SYSTEM
  ibrav = 0, nat = 12, ntyp = 3
/
ATOMIC_SPECIES
Sm 150.36 Sm.upf
Sn 118.71 Sn.upf
Hg 200.59 Hg.upf
ATOMIC_POSITIONS angstrom
Sm 4.837 2.850 4.325
Sm 8.747 2.850 4.325
Sm 4.837 -2.850 1.442
Sm 8.747 -2.850 1.442
Sn 6.792 3.883 1.442
Sn 4.276 0.000 0.000
Sn 4.276 0.000 2.883
Sn 9.309 0.000 0.000
Sn 9.309 0.000 2.883
Sn 6.792 -3.883 4.325
Hg 6.792 1.056 1.442
Hg 6.792 -1.056 4.325
CELL_PARAMETERS angstrom
6.792 -4.629 0.000
6.792 4.629 0.000
0.000 0.000 5.766

***

Record 13
! SmSn2Hg (PBE, relaxed); values from VASP
! - Formation energy: -47 kJ/mol of atoms
! - Density of states at the Fermi level: 0.32 states/eV per atom
! - SG: No. 123
&SYSTEM
  ibrav = 0, nat = 4, ntyp = 3
/
ATOMIC_SPECIES
Sm 150.36 Sm.upf
Sn 118.71 Sn.upf
Hg 200.59 Hg.upf
ATOMIC_POSITIONS angstrom
Sm 0.000 0.000 0.000
Sn 0.000 2.385 2.263
Sn 2.385 0.000 2.263
Hg 2.385 2.385 0.000
CELL_PARAMETERS angstrom
4.770 0.000 0.000
0.000 4.770 0.000
0.000 0.000 4.526

***

Record 14
! Sm5Sn5Hg2 (PBE, relaxed); values from VASP
! - Formation energy: -48 kJ/mol of atoms
! - Density of states at the Fermi level: 0.64 states/eV per atom
! - SG: No. 12
&SYSTEM
  ibrav = 0, nat = 12, ntyp = 3
/
ATOMIC_SPECIES
Sm 150.36 Sm.upf
Sn 118.71 Sn.upf
Hg 200.59 Hg.upf
ATOMIC_POSITIONS angstrom
Sm 0.000 0.000 0.000
Sm 1.361 0.000 5.302
Sm 3.619 0.000 2.308
Sm 3.500 0.000 8.455
Sm 5.758 0.000 5.462
Sn -3.512 0.000 5.382
Sn -1.157 0.000 3.091
Sn -2.162 0.000 10.240
Sn 9.281 0.000 0.523
Sn 8.276 0.000 7.672
Hg -0.861 0.000 7.687
Hg 7.980 0.000 3.076
CELL_PARAMETERS angstrom
7.071 -2.264 0.000
7.071 2.264 0.000
-7.023 0.000 10.763

***

Record 15
! Sm6SnHg5 (PBE, relaxed); values from VASP
! - Formation energy: -50 kJ/mol of atoms
! - Density of states at the Fermi level: 1.09 states/eV per atom
! - SG: No. 12
&SYSTEM
  ibrav = 0, nat = 12, ntyp = 3
/
ATOMIC_SPECIES
Sm 150.36 Sm.upf
Sn 118.71 Sn.upf
Hg 200.59 Hg.upf
ATOMIC_POSITIONS angstrom
Sm 5.116 1.904 1.699
Sm 8.513 1.906 0.000
Sm 10.230 1.904 3.398
Sm 5.116 -1.904 1.699
Sm 8.513 -1.906 0.000
Sm 10.230 -1.904 3.398
Sn -0.840 0.000 2.548
Hg 2.641 0.000 0.876
Hg 4.279 0.000 4.246
Hg 7.673 0.000 2.548
Hg 11.066 0.000 0.850
Hg 12.705 0.000 4.220
CELL_PARAMETERS angstrom
8.513 -3.802 0.000
8.513 3.802 0.000
-1.680 0.000 5.096

***

Record 16
! Sm8Sn5Hg (PBE, relaxed); values from VASP
! - Formation energy: -64 kJ/mol of atoms
! - Density of states at the Fermi level: 0.75 states/eV per atom
! - SG: No. 82
&SYSTEM
  ibrav = 0, nat = 14, ntyp = 3
/
ATOMIC_SPECIES
Sm 150.36 Sm.upf
Sn 118.71 Sn.upf
Hg 200.59 Hg.upf
ATOMIC_POSITIONS angstrom
Sm 1.714 -0.705 1.819
Sm 4.075 1.685 -0.488
Sm 3.007 5.427 -2.939
Sm 3.037 -0.646 5.247
Sm 1.685 5.368 0.488
Sm 4.016 3.007 2.939
Sm 0.646 3.037 4.270
Sm 0.705 1.714 7.698
Sn 4.721 0.000 2.379
Sn 1.184 2.350 1.220
Sn -2.372 3.537 3.539
Sn -1.184 7.093 1.220
Sn 2.372 5.906 3.539
Hg 0.000 0.000 4.759
CELL_PARAMETERS angstrom
-4.721 4.721 4.759
4.721 -4.721 4.759
4.721 4.721 -4.759

***

Record 17
! Sm3SnHg5 (PBE, relaxed); values from VASP
! - Formation energy: -45 kJ/mol of atoms
! - Density of states at the Fermi level: 0.63 states/eV per atom
! - SG: No. 193
&SYSTEM
  ibrav = 0, nat = 18, ntyp = 3
/
ATOMIC_SPECIES
Sm 150.36 Sm.upf
Sn 118.71 Sn.upf
Hg 200.59 Hg.upf
ATOMIC_POSITIONS angstrom
Sm -1.482 2.567 1.616
Sm -3.071 5.320 4.847
Sm 2.965 0.000 1.616
Sm 1.482 2.567 4.847
Sm 6.143 0.000 4.847
Sm 3.071 5.320 1.616
Sn 0.000 0.000 0.000
Sn 0.000 0.000 3.231
Hg -1.569 2.718 4.847
Hg -2.984 5.169 1.616
Hg 0.000 5.258 0.000
Hg 0.000 5.258 3.231
Hg 3.139 0.000 4.847
Hg 1.569 2.718 1.616
Hg 5.969 0.000 1.616
Hg 2.984 5.169 4.847
Hg 4.554 2.629 0.000
Hg 4.554 2.629 3.231
CELL_PARAMETERS angstrom
9.108 0.000 0.000
-4.554 7.887 0.000
0.000 0.000 6.463

***

Record 18
! Sm5Sn4Hg (PBE, relaxed); values from VASP
! - Formation energy: -50 kJ/mol of atoms
! - Density of states at the Fermi level: 0.58 states/eV per atom
! - SG: No. 79
&SYSTEM
  ibrav = 0, nat = 10, ntyp = 3
/
ATOMIC_SPECIES
Sm 150.36 Sm.upf
Sn 118.71 Sn.upf
Hg 200.59 Hg.upf
ATOMIC_POSITIONS angstrom
Sm 0.000 0.000 0.000
Sm 5.920 1.868 -0.869
Sm 1.868 3.992 -0.869
Sm 3.087 0.964 2.312
Sm -0.964 3.087 2.312
Sn 3.921 -2.095 2.297
Sn 5.990 2.095 2.297
Sn 2.095 3.921 2.297
Sn -2.095 5.990 2.297
Hg 0.000 0.000 3.233
CELL_PARAMETERS angstrom
-4.956 4.956 3.181
4.956 -4.956 3.181
4.956 4.956 -3.181

***

Record 19
! SmSn3Hg (PBE, relaxed); values from VASP
! - Formation energy: 5 kJ/mol of atoms
! - Density of states at the Fermi level: 0.77 states/eV per atom
! - SG: No. 2
&SYSTEM
  ibrav = 0, nat = 5, ntyp = 3
/
ATOMIC_SPECIES
Sm 150.36 Sm.upf
Sn 118.71 Sn.upf
Hg 200.59 Hg.upf
ATOMIC_POSITIONS angstrom
Sm 0.000 0.000 0.000
Sn 0.036 1.562 2.706
Sn 0.023 3.124 0.000
Sn 0.059 4.686 2.706
Hg 3.098 0.000 0.000
CELL_PARAMETERS angstrom
6.195 0.000 0.000
0.047 6.248 0.000
0.072 3.124 5.411

***

Record 20
! Sm2Sn2Hg (PBE, relaxed); values from VASP
! - Formation energy: -58 kJ/mol of atoms
! - Density of states at the Fermi level: 0.67 states/eV per atom
! - SG: No. 12
&SYSTEM
  ibrav = 0, nat = 10, ntyp = 3
/
ATOMIC_SPECIES
Sm 150.36 Sm.upf
Sn 118.71 Sn.upf
Hg 200.59 Hg.upf
ATOMIC_POSITIONS angstrom
Sm -0.755 0.000 1.810
Sm -0.691 0.000 6.177
Sm 7.836 0.000 3.977
Sm 7.900 0.000 8.344
Sn -0.127 0.000 9.511
Sn 2.484 0.000 6.113
Sn 4.661 0.000 4.041
Sn 7.271 0.000 0.643
Hg 2.721 0.000 1.785
Hg 4.424 0.000 8.369
CELL_PARAMETERS angstrom
5.895 -2.301 0.000
5.895 2.301 0.000
-4.645 0.000 10.154